Record 1
Here is a relaxed Rb3Mn2Br5F2 crystal from Alexandria. Energies are from PBE with a Hubbard U.

Computed properties:
M_tot: 20.00 Bohr magnetons per cell
Calculated volume: 747.1 Å³ per cell
Density of states at the Fermi level: 0.00 states/eV per cell
DFT total energy: -4.2179 eV/atom

Cell lengths 5.555, 5.555, 24.216 Å; angles 90.00, 90.00, 90.00 degrees
Space group I4/mmm (No. 139)
One atom of each set of equivalent atoms:
Rb (0.000, 0.000, 0.000)
Rb (0.000, 0.000, 0.195)
Mn (0.000, 0.000, 0.387)
Br (0.000, 0.000, 0.500)
Br (0.000, 0.500, 0.109)
F (0.000, 0.000, 0.304)

Record 2
Here is a relaxed Rb2MnBr6F crystal from Alexandria. Energies are from PBE with a Hubbard U.

Computed properties:
M_tot: 8.00 Bohr magnetons per cell
Calculated volume: 654.5 Å³ per cell
Density of states at the Fermi level: 0.00 states/eV per cell
DFT total energy: -3.1432 eV/atom

Cell lengths 8.021, 8.021, 10.174 Å; angles 90.00, 90.00, 90.00 degrees
Space group I4/mmm (No. 139)
One atom of each set of equivalent atoms:
Rb (0.000, 0.500, 0.250)
Mn (0.000, 0.000, 0.000)
Br (0.000, 0.000, 0.287)
Br (0.218, 0.218, 0.000)
F (0.000, 0.000, 0.500)

Record 3
Here is a relaxed Rb3Mn2Br2F5 crystal from Alexandria. Energies are from PBE with a Hubbard U.

Computed properties:
M_tot: 20.00 Bohr magnetons per cell
Calculated volume: 512.5 Å³ per cell
Density of states at the Fermi level: 0.00 states/eV per cell
DFT total energy: -4.9050 eV/atom

Cell lengths 4.502, 4.502, 25.279 Å; angles 90.00, 90.00, 90.00 degrees
Space group I4/mmm (No. 139)
One atom of each set of equivalent atoms:
Rb (0.000, 0.000, 0.000)
Rb (0.000, 0.000, 0.163)
Mn (0.000, 0.000, 0.417)
Br (0.000, 0.000, 0.310)
F (0.000, 0.000, 0.500)
F (0.000, 0.500, 0.081)

Record 4
Here is a relaxed Rb3Mn2Br3F4 crystal from Alexandria. Energies are from PBE with a Hubbard U.

Computed properties:
M_tot: 20.00 Bohr magnetons per cell
Calculated volume: 600.0 Å³ per cell
Density of states at the Fermi level: 0.00 states/eV per cell
DFT total energy: -4.6189 eV/atom

Cell lengths 4.269, 5.392, 26.062 Å; angles 90.00, 90.00, 90.00 degrees
Space group Immm (No. 71)
One atom of each set of equivalent atoms:
Rb (0.000, 0.000, 0.000)
Rb (0.000, 0.000, 0.199)
Mn (0.000, 0.000, 0.383)
Br (0.000, 0.000, 0.500)
Br (0.000, 0.500, 0.397)
F (0.000, 0.000, 0.303)
F (0.000, 0.500, 0.118)

Record 5
Here is a relaxed Rb2MnBr2F4 crystal from Alexandria. Energies are from PBE with a Hubbard U.

Computed properties:
M_tot: 5.98 Bohr magnetons per cell
Calculated volume: 409.5 Å³ per cell
Density of states at the Fermi level: 0.23 states/eV per cell
DFT total energy: -4.3191 eV/atom

Cell lengths 7.045, 7.045, 8.251 Å; angles 90.00, 90.00, 90.00 degrees
Space group I4/mmm (No. 139)
One atom of each set of equivalent atoms:
Rb (0.000, 0.500, 0.250)
Mn (0.000, 0.000, 0.000)
Br (0.000, 0.000, 0.326)
F (0.187, 0.187, 0.000)

Record 6
Here is a relaxed Mn2TcBrF crystal from Alexandria. Energies are from PBE with a Hubbard U.

Computed properties:
M_tot: 9.67 Bohr magnetons per cell
Calculated volume: 122.2 Å³ per cell
Density of states at the Fermi level: 2.24 states/eV per cell
DFT total energy: -5.4425 eV/atom

Cell lengths 5.140, 5.140, 4.625 Å; angles 90.00, 90.00, 90.00 degrees
Space group P4/mmm (No. 123)
One atom of each set of equivalent atoms:
Mn (0.000, 0.500, 0.000)
Tc (0.000, 0.000, 0.000)
Br (0.000, 0.000, 0.500)
F (0.500, 0.500, 0.500)

Record 7
Here is a relaxed MnTlBr2F crystal from Alexandria. Energies are from PBE with a Hubbard U.

Computed properties:
M_tot: 5.00 Bohr magnetons per cell
Calculated volume: 128.6 Å³ per cell
Density of states at the Fermi level: 0.00 states/eV per cell
DFT total energy: -4.4227 eV/atom

Cell lengths 5.591, 5.591, 4.114 Å; angles 90.00, 90.00, 90.00 degrees
Space group P4/mmm (No. 123)
One atom of each set of equivalent atoms:
Mn (0.000, 0.000, 0.000)
Tl (0.500, 0.500, 0.500)
Br (0.000, 0.500, 0.000)
F (0.000, 0.000, 0.500)

Record 8
Here is a relaxed Mn2Tl3Br3F4 crystal from Alexandria. Energies are from PBE with a Hubbard U.

Computed properties:
M_tot: 20.00 Bohr magnetons per cell
Calculated volume: 587.1 Å³ per cell
Density of states at the Fermi level: 0.00 states/eV per cell
DFT total energy: -4.5062 eV/atom

Cell lengths 5.479, 25.659, 4.176 Å; angles 90.00, 90.00, 90.00 degrees
Space group Imm2 (No. 44)
One atom of each set of equivalent atoms:
Mn (0.000, 0.115, 0.000)
Tl (0.000, 0.299, 0.991)
Tl (0.000, 0.500, 0.996)
Br (0.000, 0.000, 0.998)
Br (0.000, 0.394, 0.493)
F (0.000, 0.114, 0.500)
F (0.000, 0.196, 0.005)

Q: Look up the density of states at the Fermi level of the seventh one.
A: 0.00 states/eV per cell

Q: The highest DFT total energy belongs to which entry?
A: Rb2MnBr6F

Q: density of states at the Fermi level of number 7 (MnTlBr2F)?
A: 0.00 states/eV per cell